DFT (GGA-PBE) results for a relaxed YGe3Br crystal.

E_form (uncorrected) = 0.52 eV per atom
Space-group type = No. 221
Distance to the lowest polymorph of the same formula = 0 meV per atom
E = -3.876 eV per atom
Crystal system = cubic
M_tot = 0.0 μB per formula unit

Lattice parameters (Å, degrees): 5.1166 5.1166 5.1166 90.00 90.00 90.00
Fractional coordinates of all 5 atoms:
Y  0.0000  0.0000  0.0000
Ge  0.0000  0.5000  0.5000
Ge  0.5000  0.0000  0.5000
Ge  0.5000  0.5000  0.0000
Br  0.5000  0.5000  0.5000